# ErScGaPt

ErScGaPt after structural relaxation (PBE-GGA, Alexandria).

Results
Relative energy among the computed polymorphs ... 58 meV/atom
Total magnetic moment ... 0.0 μB per cell

Unit cell a=4.842 b=4.842 c=4.842 alpha=60.00 beta=60.00 gamma=60.00
Atoms (fractional coordinates):
Er1 0.000 0.000 0.000
Sc1 0.500 0.500 0.500
Ga1 0.250 0.250 0.250
Pt1 0.750 0.750 0.750



# Er2Ga3SiPt4

Er2Ga3SiPt4 after structural relaxation (PBE-GGA, Alexandria).

Results
ΔE_f (raw) ... -0.959 eV per atom
Total magnetic moment ... 0.0 μB per cell

Unit cell a=4.126 b=4.126 c=10.667 alpha=90.00 beta=90.00 gamma=90.00
Atoms (fractional coordinates):
Er1 0.000 0.500 0.242
Er2 0.500 0.000 0.758
Ga1 0.000 0.000 0.000
Ga2 0.000 0.500 0.638
Ga3 0.500 0.000 0.362
Si1 0.500 0.500 0.000
Pt1 0.000 0.000 0.500
Pt2 0.000 0.500 0.869
Pt3 0.500 0.000 0.131
Pt4 0.500 0.500 0.500



# ErGa2Si2Pt7

ErGa2Si2Pt7 after structural relaxation (PBE-GGA, Alexandria).

Results
ΔE_f (raw) ... -0.690 eV per atom
Total magnetic moment ... 0.0 μB per cell

Unit cell a=3.935 b=3.935 c=14.164 alpha=96.15 beta=96.15 gamma=89.92
Atoms (fractional coordinates):
Er1 0.000 0.000 0.000
Ga1 0.099 0.099 0.409
Ga2 0.901 0.901 0.591
Si1 0.402 0.402 0.744
Si2 0.598 0.598 0.256
Pt1 0.061 0.561 0.159
Pt2 0.368 0.368 0.578
Pt3 0.439 0.939 0.841
Pt4 0.500 0.500 0.000
Pt5 0.561 0.061 0.159
Pt6 0.632 0.632 0.422
Pt7 0.939 0.439 0.841